A plane-wave DFT calculation with PBE-GGA was carried out for crystalline YAgIN2 at its relaxed geometry.

Calculated values
* E_form (uncorrected): 6.1 eV/f.u.
* final energy: -21.46 eV/cell
* energy above the most stable polymorph in this dataset: 547.5 meV per atom

Cell and atoms, written as POSCAR:
```
YAgIN2
1.0
-4.313 -0.140 0.503
-0.430 -1.414 -4.085
0.357 -4.968 1.682
N I Ag Y
2 1 1 1
Direct
0.000 0.500 0.000 N
0.500 0.000 0.000 N
0.000 0.000 0.500 I
0.000 0.000 0.000 Ag
0.500 0.500 0.500 Y
```



A plane-wave DFT calculation with PBE-GGA was carried out for crystalline YAgI2N at its relaxed geometry.

Calculated values
* E_form (uncorrected): -0.3 eV/f.u.
* final energy: -21.01 eV/cell
* energy above the most stable polymorph in this dataset: 0.0 meV per atom

Cell and atoms, written as POSCAR:
```
YAgI2N
1.0
-0.839 5.687 -2.304
-3.140 -2.396 -4.770
-3.519 0.349 2.141
Ag I N Y
1 2 1 1
Direct
0.500 0.500 0.500 Ag
0.000 0.500 0.000 I
0.500 0.000 0.000 I
0.000 0.000 0.500 N
0.000 0.000 0.000 Y
```



A plane-wave DFT calculation with PBE-GGA was carried out for crystalline YAgI2N at its relaxed geometry.

Calculated values
* E_form (uncorrected): 2.5 eV/f.u.
* final energy: -18.27 eV/cell
* energy above the most stable polymorph in this dataset: 547.6 meV per atom

Cell and atoms, written as POSCAR:
```
YAgI2N
1.0
5.946 0.000 0.000
0.000 5.946 0.000
0.000 0.000 3.994
Y Ag I N
1 1 2 1
Direct
0.500 0.500 0.500 Y
0.000 0.000 0.000 Ag
0.500 0.000 0.000 I
0.000 0.500 0.000 I
0.000 0.000 0.500 N
```



A plane-wave DFT calculation with PBE-GGA was carried out for crystalline ZnAgI2N at its relaxed geometry.

Calculated values
* E_form (uncorrected): 4.6 eV/f.u.
* final energy: -10.99 eV/cell
* energy above the most stable polymorph in this dataset: 317.5 meV per atom

Cell and atoms, written as POSCAR:
```
ZnAgI2N
1.0
5.869 0.000 0.000
0.000 5.869 0.000
0.000 0.000 4.116
I Ag Zn N
2 1 1 1
Direct
0.500 0.000 0.000 I
0.000 0.500 0.000 I
0.000 0.000 0.000 Ag
0.500 0.500 0.500 Zn
0.000 0.000 0.500 N
```



A plane-wave DFT calculation with PBE-GGA was carried out for crystalline ZnAgIN2 at its relaxed geometry.

Calculated values
* E_form (uncorrected): 8.1 eV/f.u.
* final energy: -14.19 eV/cell
* energy above the most stable polymorph in this dataset: 250.2 meV per atom

Cell and atoms, written as POSCAR:
```
ZnAgIN2
1.0
4.106 0.000 0.000
0.000 4.106 0.000
0.000 0.000 7.766
N I Zn Ag
2 1 1 1
Direct
0.500 0.000 0.000 N
0.000 0.500 0.000 N
0.000 0.000 0.500 I
0.500 0.500 0.500 Zn
0.000 0.000 0.000 Ag
```



A plane-wave DFT calculation with PBE-GGA was carried out for crystalline ZnAgI2N at its relaxed geometry.

Calculated values
* E_form (uncorrected): 3.0 eV/f.u.
* final energy: -12.58 eV/cell
* energy above the most stable polymorph in this dataset: 0.0 meV per atom

Cell and atoms, written as POSCAR:
```
ZnAgI2N
1.0
5.858 0.000 0.000
0.000 5.858 0.000
0.000 0.000 3.845
Zn Ag I N
1 1 2 1
Direct
0.000 0.000 0.000 Zn
0.500 0.500 0.500 Ag
0.000 0.500 0.000 I
0.500 0.000 0.000 I
0.000 0.000 0.500 N
```



A plane-wave DFT calculation with PBE-GGA was carried out for crystalline ZnAgIN2 at its relaxed geometry.

Calculated values
* E_form (uncorrected): 6.9 eV/f.u.
* final energy: -15.45 eV/cell
* energy above the most stable polymorph in this dataset: 0.0 meV per atom

Cell and atoms, written as POSCAR:
```
ZnAgIN2
1.0
-0.792 2.694 2.982
-3.909 -1.223 0.066
1.460 -4.430 4.390
Zn N I Ag
1 2 1 1
Direct
0.000 0.000 0.000 Zn
0.000 0.500 0.000 N
0.500 0.000 0.000 N
0.000 0.000 0.500 I
0.500 0.500 0.500 Ag
```



A plane-wave DFT calculation with PBE-GGA was carried out for crystalline ZrAgIN2 at its relaxed geometry.

Calculated values
* E_form (uncorrected): 8.6 eV/f.u.
* final energy: -21.05 eV/cell
* energy above the most stable polymorph in this dataset: 1346.8 meV per atom

Cell and atoms, written as POSCAR:
```
ZrAgIN2
1.0
-2.369 3.465 0.407
-1.027 -1.163 3.921
4.134 2.608 1.855
N I Ag Zr
2 1 1 1
Direct
0.500 0.000 0.000 N
0.000 0.500 0.000 N
0.000 0.000 0.500 I
0.000 0.000 0.000 Ag
0.500 0.500 0.500 Zr
```



A plane-wave DFT calculation with PBE-GGA was carried out for crystalline ZrAgIN2 at its relaxed geometry.

Calculated values
* E_form (uncorrected): 1.8 eV/f.u.
* final energy: -27.78 eV/cell
* energy above the most stable polymorph in this dataset: 0.0 meV per atom

Cell and atoms, written as POSCAR:
```
ZrAgIN2
1.0
4.181 0.000 0.000
0.000 4.181 0.000
0.000 0.000 6.308
I Ag Zr N
1 1 1 2
Direct
0.000 0.000 0.500 I
0.500 0.500 0.500 Ag
0.000 0.000 0.000 Zr
0.000 0.500 0.000 N
0.500 0.000 0.000 N
```



A plane-wave DFT calculation with PBE-GGA was carried out for crystalline NaAg6I8 at its relaxed geometry.

Calculated values
* E_form (uncorrected): -4.2 eV/f.u.
* final energy: -35.02 eV/cell

Cell and atoms, written as POSCAR:
```
NaAg6I8
1.0
-4.635 -4.295 -5.002
2.309 -6.202 4.600
-5.969 2.486 4.810
Ag I Na
6 8 1
Direct
0.502 0.430 0.816 Ag
0.430 0.816 0.502 Ag
0.570 0.184 0.498 Ag
0.184 0.498 0.570 Ag
0.498 0.570 0.184 Ag
0.816 0.502 0.430 Ag
0.087 0.778 0.387 I
0.387 0.087 0.778 I
0.222 0.613 0.913 I
0.778 0.387 0.087 I
0.696 0.696 0.696 I
0.913 0.222 0.613 I
0.304 0.304 0.304 I
0.613 0.913 0.222 I
0.000 0.000 0.000 Na
```



A plane-wave DFT calculation with PBE-GGA was carried out for crystalline NaAgI2 at its relaxed geometry.

Calculated values
* E_form (uncorrected): -2.9 eV/f.u.
* final energy: -20.39 eV/cell
* energy above the most stable polymorph in this dataset: 0.9 meV per atom

Cell and atoms, written as POSCAR:
```
NaAgI2
1.0
-4.181 2.376 -0.097
-3.061 -5.499 -2.779
-2.112 -3.352 8.959
Ag Na I
2 2 4
Direct
0.000 0.863 0.379 Ag
0.500 0.363 0.621 Ag
0.000 0.856 0.855 Na
0.500 0.356 0.145 Na
0.500 0.633 0.395 I
0.000 0.081 0.130 I
0.500 0.581 0.870 I
0.000 0.133 0.605 I
```



A plane-wave DFT calculation with PBE-GGA was carried out for crystalline Na2AgI at its relaxed geometry.

Calculated values
* E_form (uncorrected): -1.6 eV/f.u.
* final energy: -17.33 eV/cell
* energy above the most stable polymorph in this dataset: 54.8 meV per atom

Cell and atoms, written as POSCAR:
```
Na2AgI
1.0
-3.519 -2.751 -6.665
-6.599 -1.760 4.210
-6.720 1.936 -2.080
I Na Ag
2 4 2
Direct
0.750 0.250 0.500 I
0.000 0.000 0.000 I
0.131 0.625 0.250 Na
0.375 0.381 0.750 Na
0.875 0.869 0.750 Na
0.619 0.125 0.250 Na
0.500 0.500 0.000 Ag
0.250 0.750 0.500 Ag
```



Q: The lowest final energy belongs to which entry?
A: NaAg6I8